(1)
This record from Alexandria via LeMat-Bulk describes a geometry-optimized MgAl2Hg structure. The functional is PBE.

```
4
Lattice="0.0000 3.4115 3.4115 3.4115 0.0000 3.4115 3.4115 3.4115 0.0000" Properties=species:S:1:pos:R:3 pbc="T T T"
Mg 0.0000 0.0000 0.0000
Al 3.4115 3.4115 3.4115
Al 5.1173 5.1173 5.1173
Hg 1.7058 1.7058 1.7058
```

Summary:
As for the volume: 19.9 Å³/atom. As for the crystal system: cubic. As for the density of states at the Fermi level: 1.5 states/eV/cell. For the spin magnetization, the calculation gives 0.0 μB/f.u. The value obtained for the calculated formation energy is 0.0992 eV per atom.

(2)
This record from Alexandria via LeMat-Bulk describes a geometry-optimized Mg5AlHg structure. The functional is PBE.

```
14
Lattice="4.4356 -5.6356 0.0000 4.4356 5.6356 0.0000 -4.0487 0.0000 6.5218" Properties=species:S:1:pos:R:3 pbc="T T T"
Mg -1.5389 1.2486 5.7757
Mg 1.3991 3.4518 4.8913
Mg 1.9333 1.7353 2.2634
Mg 0.4854 -1.2486 2.5148
Mg 4.9136 1.7353 0.9974
Mg -0.0911 -1.7353 5.5243
Mg 4.3371 1.2486 4.0069
Mg 2.8892 -1.7353 4.2583
Mg 3.4235 -3.4518 1.6304
Mg 6.3615 -1.2486 0.7461
Al 1.3991 0.6270 4.8913
Al 3.4235 -0.6270 1.6304
Hg 0.0000 0.0000 0.0000
Hg -2.0244 0.0000 3.2609
```

Summary:
As for the volume: 23.3 Å³/atom. As for the crystal system: monoclinic. As for the density of states at the Fermi level: 3.9 states/eV/cell. For the spin magnetization, the calculation gives 0.0 μB/f.u. The value obtained for the calculated formation energy is 0.0632 eV per atom.